HfAsIrO: relaxed, PBE.

## Properties
As for the symmetry: Pmc2_1. Its offset from the most stable computed form is 0 meV per atom.

Lattice parameters (Å, degrees): 3.268 7.647 5.606 90.00 90.00 90.00
Sites, in units of the cell vectors:
As 0.000 0.189 0.374
As 0.000 0.811 0.874
Hf 0.000 0.740 0.380
Hf 0.000 0.260 0.880
Ir 0.500 0.994 0.117
Ir 0.500 0.006 0.617
O 0.500 0.597 0.384
O 0.500 0.403 0.884

---

HfAsIrO: relaxed, PBE.

## Properties
As for the symmetry: P4/nmm. Its offset from the most stable computed form is 1408 meV per atom.

Lattice parameters (Å, degrees): 4.282 4.282 6.474 90.00 90.00 90.00
Sites, in units of the cell vectors:
As 0.750 0.750 0.257
As 0.250 0.250 0.743
Hf 0.750 0.250 0.500
Hf 0.250 0.750 0.500
Ir 0.250 0.250 0.127
Ir 0.750 0.750 0.873
O 0.750 0.250 0.000
O 0.250 0.750 0.000

---

HfAsIrO: relaxed, PBE.

## Properties
As for the symmetry: P4/nmm. Its offset from the most stable computed form is 70 meV per atom.

Lattice parameters (Å, degrees): 3.995 3.995 7.156 90.00 90.00 90.00
Sites, in units of the cell vectors:
As 0.000 0.500 0.294
As 0.500 0.000 0.706
Hf 0.500 0.000 0.135
Hf 0.000 0.500 0.865
Ir 0.000 0.000 0.500
Ir 0.500 0.500 0.500
O 0.000 0.000 0.000
O 0.500 0.500 0.000

---

Hf2SbAsIr2: relaxed, PBE.

## Properties
As for the symmetry: Pm.

Lattice parameters (Å, degrees): 10.794 4.407 10.794 90.00 109.49 90.00
Sites, in units of the cell vectors:
As 0.749 0.000 0.501
As 0.501 0.000 0.750
As 0.874 0.500 0.873
As 0.250 0.000 0.998
Hf 0.123 0.500 0.118
Hf 0.498 0.000 0.250
Hf 0.872 0.500 0.379
Hf 0.255 0.000 0.505
Hf 0.628 0.500 0.628
Hf 0.998 0.000 0.751
Hf 0.377 0.500 0.875
Hf 0.750 0.000 0.994
Ir 0.371 0.500 0.121
Ir 0.749 0.000 0.253
Ir 0.125 0.500 0.375
Ir 0.505 0.000 0.504
Ir 0.873 0.500 0.627
Ir 0.253 0.000 0.754
Ir 0.626 0.500 0.872
Ir 0.999 0.000 0.995
Sb 0.625 0.500 0.124
Sb 0.000 0.000 0.250
Sb 0.376 0.500 0.375
Sb 0.125 0.500 0.627

---

HfZrAs2Ir2: relaxed, PBE.

## Properties
As for the symmetry: Pm.

Lattice parameters (Å, degrees): 8.696 4.347 13.043 90.00 109.47 90.00
Sites, in units of the cell vectors:
As 0.062 0.500 0.124
As 0.562 0.500 0.125
As 0.437 0.000 0.375
As 0.937 0.000 0.375
As 0.312 0.500 0.625
As 0.813 0.500 0.625
As 0.187 0.000 0.875
As 0.688 0.000 0.876
Hf 0.813 0.000 0.125
Hf 0.312 0.000 0.125
Hf 0.062 0.000 0.625
Hf 0.938 0.500 0.875
Ir 0.501 0.000 0.002
Ir 0.874 0.500 0.248
Ir 0.374 0.500 0.248
Ir 0.752 0.000 0.501
Ir 0.249 0.000 0.501
Ir 0.123 0.500 0.750
Ir 0.627 0.500 0.751
Ir 0.000 0.000 0.000
Zr 0.688 0.500 0.375
Zr 0.187 0.500 0.375
Zr 0.563 0.000 0.625
Zr 0.437 0.500 0.875

---

KHfAsO: relaxed, PBE.

## Properties
As for the symmetry: P4/nmm. Its offset from the most stable computed form is 843 meV per atom.

Lattice parameters (Å, degrees): 5.345 5.345 5.276 90.00 90.00 90.00
Sites, in units of the cell vectors:
As 0.750 0.750 0.491
As 0.250 0.250 0.509
Hf 0.750 0.250 0.500
Hf 0.250 0.750 0.500
K 0.250 0.250 0.007
K 0.750 0.750 0.993
O 0.750 0.250 0.000
O 0.250 0.750 0.000

---

KHfAsO: relaxed, PBE.

## Properties
As for the symmetry: P4/nmm. Its offset from the most stable computed form is 1297 meV per atom.

Lattice parameters (Å, degrees): 4.636 4.636 9.324 90.00 90.00 90.00
Sites, in units of the cell vectors:
As 0.000 0.500 0.364
As 0.500 0.000 0.636
Hf 0.000 0.000 0.500
Hf 0.500 0.500 0.500
K 0.500 0.000 0.116
K 0.000 0.500 0.884
O 0.000 0.000 0.000
O 0.500 0.500 0.000

---

KHfAsO: relaxed, PBE.

## Properties
As for the symmetry: Pmc2_1. Its offset from the most stable computed form is 230 meV per atom.

Lattice parameters (Å, degrees): 3.588 6.910 7.873 90.00 90.00 90.00
Sites, in units of the cell vectors:
As 0.000 0.346 0.290
As 0.000 0.654 0.790
Hf 0.000 0.656 0.465
Hf 0.000 0.344 0.965
K 0.500 0.876 0.084
K 0.500 0.124 0.584
O 0.500 0.780 0.414
O 0.500 0.220 0.914

---

KHfAsO: relaxed, PBE.

## Properties
As for the symmetry: Pmc2_1. Its offset from the most stable computed form is 0 meV per atom.

Lattice parameters (Å, degrees): 4.082 8.156 6.415 90.00 90.00 90.00
Sites, in units of the cell vectors:
As 0.000 0.280 0.434
As 0.000 0.720 0.934
Hf 0.500 0.896 0.032
Hf 0.500 0.104 0.532
K 0.000 0.677 0.445
K 0.000 0.323 0.945
O 0.500 0.913 0.343
O 0.500 0.087 0.843

---

KHfAsO: relaxed, PBE.

## Properties
As for the symmetry: P4/nmm. Its offset from the most stable computed form is 384 meV per atom.

Lattice parameters (Å, degrees): 3.783 3.783 10.063 90.00 90.00 90.00
Sites, in units of the cell vectors:
As 0.750 0.750 0.253
As 0.250 0.250 0.747
Hf 0.250 0.250 0.112
Hf 0.750 0.750 0.888
K 0.750 0.250 0.500
K 0.250 0.750 0.500
O 0.750 0.250 0.000
O 0.250 0.750 0.000

---

LiHfAs: relaxed, PBE.

## Properties
As for the symmetry: F-43m. Its offset from the most stable computed form is 0 meV per atom.

Lattice parameters (Å, degrees): 4.319 4.319 4.319 60.00 60.00 60.00
Sites, in units of the cell vectors:
As 0.000 0.000 0.000
Hf 0.250 0.250 0.250
Li 0.750 0.750 0.750

---

LiHf3As5: relaxed, PBE.

## Properties
As for the symmetry: P6/mmm.

Lattice parameters (Å, degrees): 6.184 6.184 6.343 90.00 90.00 120.00
Sites, in units of the cell vectors:
As 0.667 0.333 0.191
As 0.333 0.667 0.191
As 0.000 0.000 0.500
As 0.667 0.333 0.809
As 0.333 0.667 0.809
Hf 0.500 0.000 0.500
Hf 0.000 0.500 0.500
Hf 0.500 0.500 0.500
Li 0.000 0.000 0.000

---

LiHfAs: relaxed, PBE.

## Properties
As for the symmetry: F-43m. Its offset from the most stable computed form is 421 meV per atom.

Lattice parameters (Å, degrees): 4.410 4.410 4.410 60.00 60.00 60.00
Sites, in units of the cell vectors:
As 0.250 0.250 0.250
Hf 0.000 0.000 0.000
Li 0.750 0.750 0.750

---

LiHfAsO: relaxed, PBE.

## Properties
As for the symmetry: Pmc2_1. Its offset from the most stable computed form is 68 meV per atom.

Lattice parameters (Å, degrees): 3.982 5.702 5.494 90.00 90.00 90.00
Sites, in units of the cell vectors:
As 0.000 0.747 0.386
As 0.000 0.253 0.886
Hf 0.000 0.207 0.388
Hf 0.000 0.793 0.888
Li 0.500 0.456 0.093
Li 0.500 0.544 0.593
O 0.500 0.276 0.387
O 0.500 0.724 0.887

---

LiHfAsO: relaxed, PBE.

## Properties
As for the symmetry: Pmc2_1. Its offset from the most stable computed form is 0 meV per atom.

Lattice parameters (Å, degrees): 3.589 6.261 6.161 90.00 90.00 90.00
Sites, in units of the cell vectors:
As 0.000 0.731 0.365
As 0.000 0.269 0.865
Hf 0.500 0.492 0.120
Hf 0.500 0.508 0.620
Li 0.000 0.142 0.394
Li 0.000 0.858 0.894
O 0.500 0.283 0.375
O 0.500 0.717 0.875

---

LiHfAsO: relaxed, PBE.

## Properties
As for the symmetry: P4/nmm. Its offset from the most stable computed form is 9 meV per atom.

Lattice parameters (Å, degrees): 3.605 3.605 8.766 90.00 90.00 90.00
Sites, in units of the cell vectors:
As 0.750 0.750 0.298
As 0.250 0.250 0.702
Hf 0.250 0.250 0.138
Hf 0.750 0.750 0.862
Li 0.750 0.250 0.500
Li 0.250 0.750 0.500
O 0.750 0.250 0.000
O 0.250 0.750 0.000

---

LiHfAsO: relaxed, PBE.

## Properties
As for the symmetry: P4/nmm. Its offset from the most stable computed form is 305 meV per atom.

Lattice parameters (Å, degrees): 5.343 5.343 4.351 90.00 90.00 90.00
Sites, in units of the cell vectors:
As 0.750 0.750 0.491
As 0.250 0.250 0.509
Hf 0.750 0.250 0.500
Hf 0.250 0.750 0.500
Li 0.250 0.250 0.009
Li 0.750 0.750 0.991
O 0.750 0.250 0.000
O 0.250 0.750 0.000

---

LiHfAsOs: relaxed, PBE.

## Properties
As for the symmetry: F-43m. Its offset from the most stable computed form is 323 meV per atom.

Lattice parameters (Å, degrees): 4.395 4.395 4.395 60.00 60.00 60.00
Sites, in units of the cell vectors:
As 0.250 0.250 0.250
Hf 0.500 0.500 0.500
Li 0.750 0.750 0.750
Os 0.000 0.000 0.000

---

LiHfAsOs: relaxed, PBE.

## Properties
As for the symmetry: F-43m. Its offset from the most stable computed form is 0 meV per atom.

Lattice parameters (Å, degrees): 4.413 4.413 4.413 60.00 60.00 60.00
Sites, in units of the cell vectors:
As 0.000 0.000 0.000
Hf 0.500 0.500 0.500
Li 0.750 0.750 0.750
Os 0.250 0.250 0.250

---

LiHfAsOs: relaxed, PBE.

## Properties
As for the symmetry: F-43m. Its offset from the most stable computed form is 223 meV per atom.

Lattice parameters (Å, degrees): 4.485 4.485 4.485 60.00 60.00 60.00
Sites, in units of the cell vectors:
As 0.500 0.500 0.500
Hf 0.250 0.250 0.250
Li 0.750 0.750 0.750
Os 0.000 0.000 0.000

---

| no. | spin magnetization (μB per cell) | final energy (eV per atom) |
| --- | --- | --- |
| 1 | 0.00 | -8.53 |
| 2 | 0.00 | -7.12 |
| 3 | 0.00 | -8.46 |
| 4 | 0.00 | -8.62 |
| 5 | 0.00 | -8.49 |
| 6 | 0.00 | -5.96 |
| 7 | 0.05 | -5.50 |
| 8 | 0.01 | -6.57 |
| 9 | 0.01 | -6.80 |
| 10 | 0.01 | -6.42 |
| 11 | 0.00 | -5.91 |
| 12 | 0.00 | -6.52 |
| 13 | 0.00 | -5.48 |
| 14 | 0.00 | -7.07 |
| 15 | 0.00 | -7.13 |
| 16 | 0.00 | -7.12 |
| 17 | 0.00 | -6.83 |
| 18 | 0.00 | -7.02 |
| 19 | 0.01 | -7.34 |
| 20 | 0.00 | -7.12 |